# 1
## Ac2Ce3NdN6 (PBE)

Data for a geometry-optimized Ac2Ce3NdN6 structure.

Structure (POSCAR):
```
Ac2Ce3NdN6
1.0
8.053 -1.835 0.000
8.053 1.835 0.000
-1.757 0.000 7.181
Ac Ce Nd N
2 3 1 6
Cartesian
2.083 0.000 2.372 Ac
12.266 0.000 4.809 Ac
1.161 0.000 6.000 Ce
7.175 0.000 3.591 Ce
13.188 0.000 1.181 Ce
8.053 0.000 0.000 Nd
-1.201 0.000 5.342 N
3.688 0.000 6.743 N
4.853 0.000 2.834 N
9.496 0.000 4.348 N
10.661 0.000 0.438 N
15.550 0.000 1.839 N
```

## Properties
The raw formation energy is -1533 kJ/mol of formula units. As for the space group: C2/m.

=====

# 2
## Ac2CeNdN4 (PBE)

Data for a geometry-optimized Ac2CeNdN4 structure.

Structure (POSCAR):
```
Ac2CeNdN4
1.0
6.451 0.000 0.000
0.000 3.741 0.000
-2.144 0.000 6.171
Ac Ce Nd N
2 1 1 4
Cartesian
0.000 0.000 0.000 Ac
3.226 1.871 0.000 Ac
-1.072 1.871 3.085 Ce
2.154 0.000 3.085 Nd
-0.047 0.000 4.456 N
1.002 1.871 1.687 N
3.306 1.871 4.484 N
4.355 0.000 1.715 N
```

## Properties
The raw formation energy is -948 kJ/mol of formula units. As for the space group: P2/m.

=====

# 3
## AcCeNdN3 (PBE)

Data for a geometry-optimized AcCeNdN3 structure.

Structure (POSCAR):
```
AcCeNdN3
1.0
6.975 0.000 0.000
0.000 3.586 0.000
-0.189 0.000 10.328
Ac Ce Nd N
2 2 2 6
Cartesian
1.066 0.896 2.282 Ac
5.719 2.689 8.046 Ac
1.235 0.896 5.952 Ce
5.551 2.689 4.376 Ce
2.306 2.689 9.162 Nd
4.480 0.896 1.165 Nd
0.814 0.896 8.203 N
0.898 2.689 4.526 N
2.614 2.689 1.167 N
4.172 0.896 9.161 N
5.888 0.896 5.802 N
5.972 2.689 2.124 N
```

## Properties
The raw formation energy is -643 kJ/mol of formula units. As for the space group: P2_1/m.

=====

# 4
## AcCeNpN3 (PBE)

Data for a geometry-optimized AcCeNpN3 structure.

Structure (POSCAR):
```
AcCeNpN3
1.0
7.616 0.000 0.000
0.000 3.759 0.000
-1.444 0.000 8.616
Ac Ce Np N
2 2 2 6
Cartesian
1.078 0.940 1.298 Ac
5.093 2.819 7.319 Ac
1.551 2.819 7.303 Ce
4.621 0.940 1.314 Ce
-0.418 0.940 5.074 Np
6.590 2.819 3.542 Np
-0.412 0.940 7.288 N
0.745 2.819 5.074 N
2.959 2.819 0.967 N
3.213 0.940 7.649 N
5.427 0.940 3.543 N
6.584 2.819 1.328 N
```

## Properties
The raw formation energy is -548 kJ/mol of formula units. As for the space group: P2_1/m.

=====

# 5
## Ac3Ce2NpN6 (PBE)

Data for a geometry-optimized Ac3Ce2NpN6 structure.

Structure (POSCAR):
```
Ac3Ce2NpN6
1.0
3.167 -5.475 0.000
3.167 5.475 0.000
-2.114 0.000 6.118
Ac Ce Np N
3 2 1 6
Cartesian
0.000 0.000 0.000 Ac
3.167 1.837 0.000 Ac
3.167 -1.837 0.000 Ac
2.110 3.657 3.059 Ce
2.110 -3.657 3.059 Ce
2.110 0.000 3.059 Np
1.134 1.685 1.859 N
0.130 0.000 4.317 N
1.134 -1.685 1.859 N
3.086 1.685 4.259 N
4.090 0.000 1.801 N
3.086 -1.685 4.259 N
```

## Properties
The raw formation energy is -1398 kJ/mol of formula units. As for the space group: C2/m.

=====

# 6
## AcCeNpN4 (PBE)

Data for a geometry-optimized AcCeNpN4 structure.

Structure (POSCAR):
```
AcCeNpN4
1.0
4.233 0.000 0.000
0.000 4.233 0.000
0.000 0.000 13.005
Ac Ce Np N
2 2 2 8
Cartesian
0.000 0.000 0.000 Ac
2.116 2.116 6.503 Ac
0.000 0.000 9.167 Ce
2.116 2.116 2.665 Ce
0.000 0.000 4.537 Np
2.116 2.116 11.040 Np
0.000 0.000 2.415 N
0.000 0.000 6.881 N
0.000 2.116 4.464 N
0.000 2.116 10.967 N
2.116 0.000 4.464 N
2.116 0.000 10.967 N
2.116 2.116 0.379 N
2.116 2.116 8.918 N
```

## Properties
The raw formation energy is -793 kJ/mol of formula units. As for the space group: I4mm.

=====

# 7
## AcCe2NpN4 (PBE)

Data for a geometry-optimized AcCe2NpN4 structure.

Structure (POSCAR):
```
AcCe2NpN4
1.0
5.158 0.000 0.000
0.000 5.158 0.000
0.000 0.000 10.218
Ac Ce Np N
2 4 2 8
Cartesian
0.000 0.000 0.000 Ac
2.579 2.579 5.109 Ac
0.000 0.000 5.109 Ce
0.000 2.579 2.555 Ce
2.579 0.000 7.664 Ce
2.579 2.579 0.000 Ce
0.000 2.579 7.664 Np
2.579 0.000 2.555 Np
0.000 0.000 2.703 N
0.000 0.000 7.515 N
0.000 2.579 5.366 N
0.000 2.579 9.962 N
2.579 0.000 0.257 N
2.579 0.000 4.852 N
2.579 2.579 2.406 N
2.579 2.579 7.812 N
```

## Properties
The raw formation energy is -917 kJ/mol of formula units. As for the space group: I-4m2.

=====

# 8
## Ac2CeN2O2 (PBE)

Data for a geometry-optimized Ac2CeN2O2 structure.

Structure (POSCAR):
```
Ac2CeN2O2
1.0
4.511 0.000 0.000
0.000 4.511 0.000
0.000 0.000 13.012
Ac Ce N O
4 2 4 4
Cartesian
0.000 0.000 1.775 Ac
0.000 0.000 11.237 Ac
2.255 2.255 4.731 Ac
2.255 2.255 8.281 Ac
0.000 0.000 6.506 Ce
2.255 2.255 0.000 Ce
0.000 2.255 0.000 N
0.000 2.255 6.506 N
2.255 0.000 0.000 N
2.255 0.000 6.506 N
0.000 0.000 4.096 O
0.000 0.000 8.916 O
2.255 2.255 2.410 O
2.255 2.255 10.602 O
```

## Properties
The raw formation energy is -1410 kJ/mol of formula units. As for the space group: I4/mmm.

=====

| no. | calculated total energy (eV per cell) |
| --- | --- |
| 1 | -96.63 |
| 2 | -62.05 |
| 3 | -92.90 |
| 4 | -107.27 |
| 5 | -101.58 |
| 6 | -129.01 |
| 7 | -143.45 |
| 8 | -110.66 |